[1]
{
  "formula": "NdTmPu2Sb4",
  "functional": "PBE-GGA",
  "state": "relaxed",
  "lattice_angstrom": [[4.435, 0.000, 0.000], [0.000, 7.678, 0.126], [0.000, -2.678, 7.172]],
  "species": ["Pu", "Pu", "Sb", "Sb", "Sb", "Sb", "Nd", "Tm"],
  "fractional_positions": [[0.500, 0.000, 0.500], [0.000, 0.500, 0.500], [0.000, 0.256, 0.750], [0.000, 0.744, 0.250], [0.500, 0.743, 0.746], [0.500, 0.257, 0.254], [0.000, 0.000, 0.000], [0.500, 0.500, 0.000]],
  "n_ef_per_ev_fu": 28.4,
  "spacegroup": "No. 10",
  "final_energy_ev_per_fu": -61.22
}

---

[2]
{
  "formula": "Mg2ScBr",
  "functional": "PBE-GGA",
  "state": "relaxed",
  "lattice_angstrom": [[-0.581, 5.487, -2.528], [-0.286, 3.295, -5.089], [-5.184, 1.459, -1.846]],
  "species": ["Sc", "Mg", "Mg", "Br"],
  "fractional_positions": [[0.476, 0.476, 0.602], [0.235, 0.235, 0.218], [0.004, 0.004, 0.052], [0.785, 0.785, 0.628]],
  "n_ef_per_ev_fu": 3.3,
  "spacegroup": "No. 8",
  "final_energy_ev_per_fu": -12.31
}

---

[3]
{
  "formula": "SrYCd2In2",
  "functional": "PBE-GGA",
  "state": "relaxed",
  "lattice_angstrom": [[-2.970, 0.733, 3.922], [3.335, -3.689, 0.062], [5.310, 4.853, 3.114]],
  "species": ["Y", "In", "In", "Cd", "Cd", "Sr"],
  "fractional_positions": [[0.000, 0.000, 0.500], [0.667, 0.333, 0.715], [0.333, 0.667, 0.285], [0.333, 0.667, 0.709], [0.667, 0.333, 0.291], [0.000, 0.000, 0.000]],
  "n_ef_per_ev_fu": 3.2,
  "spacegroup": "No. 164",
  "final_energy_ev_per_fu": -17.95,
  "e_form_ev_per_fu": -2.5
}

---

[4]
{
  "formula": "Tb6Ho3Tm2Sc",
  "functional": "PBE-GGA",
  "state": "relaxed",
  "lattice_angstrom": [[6.092, 0.002, 0.002], [-3.043, 5.278, 0.002], [-1.016, -1.759, 11.434]],
  "species": ["Tb", "Tb", "Tb", "Tb", "Tb", "Tb", "Tm", "Tm", "Ho", "Ho", "Ho", "Sc"],
  "fractional_positions": [[0.587, 0.918, 0.753], [0.751, 0.751, 0.247], [0.082, 0.413, 0.247], [0.249, 0.249, 0.753], [0.918, 0.587, 0.753], [0.413, 0.082, 0.247], [0.667, 0.333, 0.000], [0.333, 0.667, 0.000], [0.833, 0.167, 0.500], [0.500, 0.500, 0.500], [0.167, 0.833, 0.500], [0.000, 0.000, 0.000]],
  "n_ef_per_ev_fu": 16.3,
  "spacegroup": "No. 12",
  "final_energy_ev_per_fu": -56.46,
  "e_form_ev_per_fu": 0.3
}

---

[5]
{
  "formula": "Ba2TlIn6Ga",
  "functional": "PBE-GGA",
  "state": "relaxed",
  "lattice_angstrom": [[-6.250, -4.125, 0.058], [0.267, -7.171, 2.142], [-4.366, 0.009, 13.666]],
  "species": ["In", "In", "In", "In", "In", "In", "In", "In", "In", "In", "In", "In", "Tl", "Tl", "Ga", "Ga", "Ba", "Ba", "Ba", "Ba"],
  "fractional_positions": [[0.671, 0.671, 0.582], [0.778, 0.356, 0.087], [0.329, 0.329, 0.418], [0.222, 0.222, 0.913], [0.356, 0.778, 0.087], [0.924, 0.329, 0.418], [0.076, 0.671, 0.582], [0.778, 0.778, 0.087], [0.644, 0.222, 0.913], [0.329, 0.924, 0.418], [0.222, 0.644, 0.913], [0.671, 0.076, 0.582], [0.574, 0.574, 0.277], [0.426, 0.426, 0.723], [0.500, 0.500, 0.500], [0.000, 0.000, 0.000], [0.894, 0.894, 0.318], [0.278, 0.278, 0.165], [0.106, 0.106, 0.682], [0.722, 0.722, 0.835]],
  "n_ef_per_ev_fu": 4.6,
  "spacegroup": "No. 166",
  "final_energy_ev_per_fu": -27.40,
  "e_form_ev_per_fu": -1.7
}

---

[6]
{
  "formula": "LaNdMgCd",
  "functional": "PBE-GGA",
  "state": "relaxed",
  "lattice_angstrom": [[-3.633, 3.911, 1.419], [-1.835, 0.310, 5.201], [1.575, 4.188, 3.239]],
  "species": ["La", "Mg", "Nd", "Cd"],
  "fractional_positions": [[0.000, 0.000, 0.000], [0.250, 0.250, 0.250], [0.500, 0.500, 0.500], [0.750, 0.750, 0.750]],
  "n_ef_per_ev_fu": 4.4,
  "spacegroup": "No. 216",
  "final_energy_ev_per_fu": -13.06,
  "e_form_ev_per_fu": -0.9
}

---

[7]
{
  "formula": "Sc4CdHgAu2",
  "functional": "PBE-GGA",
  "state": "relaxed",
  "lattice_angstrom": [[4.890, 0.000, 0.000], [2.445, 4.235, 0.000], [2.445, 1.412, 8.032]],
  "species": ["Sc", "Sc", "Sc", "Sc", "Au", "Au", "Cd", "Hg"],
  "fractional_positions": [[0.623, 0.623, 0.130], [0.126, 0.126, 0.622], [0.874, 0.874, 0.378], [0.377, 0.377, 0.870], [0.256, 0.256, 0.232], [0.744, 0.744, 0.768], [0.000, 0.000, 0.000], [0.500, 0.500, 0.500]],
  "n_ef_per_ev_fu": 7.5,
  "spacegroup": "No. 166",
  "final_energy_ev_per_fu": -37.66,
  "e_form_ev_per_fu": -4.6
}

---

[8]
{
  "formula": "MnCBr2",
  "functional": "PBE-GGA",
  "state": "relaxed",
  "lattice_angstrom": [[-3.267, 0.227, 2.959], [-2.458, 3.653, 0.297], [-4.203, -0.053, -1.345]],
  "species": ["Br", "Br", "C", "Mn"],
  "fractional_positions": [[0.250, 0.250, 0.250], [0.750, 0.750, 0.750], [0.000, 0.000, 0.000], [0.500, 0.500, 0.500]],
  "n_ef_per_ev_fu": 3.6,
  "spacegroup": "No. 225",
  "final_energy_ev_per_fu": -13.77
}

---

[9]
{
  "formula": "Ga2Bi2Au5",
  "functional": "PBE-GGA",
  "state": "relaxed",
  "lattice_angstrom": [[4.773, 0.267, 0.312], [-2.280, 5.857, -3.580], [0.530, 0.021, 7.591]],
  "species": ["Au", "Au", "Au", "Au", "Au", "Ga", "Ga", "Bi", "Bi"],
  "fractional_positions": [[0.203, 0.359, 0.411], [0.000, 0.000, 0.000], [0.590, 0.216, 0.940], [0.410, 0.784, 0.060], [0.797, 0.641, 0.589], [0.343, 0.787, 0.705], [0.657, 0.213, 0.295], [0.162, 0.311, 0.781], [0.838, 0.689, 0.219]],
  "n_ef_per_ev_fu": 3.0,
  "spacegroup": "No. 2",
  "final_energy_ev_per_fu": -30.72,
  "e_form_ev_per_fu": -0.5
}

---

[10]
{
  "formula": "SrCdSb2I",
  "functional": "PBE-GGA",
  "state": "relaxed",
  "lattice_angstrom": [[6.366, 0.000, 0.000], [0.000, 6.366, 0.000], [0.000, 0.000, 6.255]],
  "species": ["Sr", "Sb", "Sb", "Cd", "I"],
  "fractional_positions": [[0.000, 0.000, 0.000], [0.000, 0.500, 0.000], [0.500, 0.000, 0.000], [0.500, 0.500, 0.500], [0.000, 0.000, 0.500]],
  "n_ef_per_ev_fu": 4.8,
  "spacegroup": "No. 123",
  "final_energy_ev_per_fu": -10.75
}

---

[11]
{
  "formula": "LaIn2Br",
  "functional": "PBE-GGA",
  "state": "relaxed",
  "lattice_angstrom": [[3.639, -0.049, 0.000], [-1.574, 3.281, 0.000], [0.000, 0.000, 10.139]],
  "species": ["In", "In", "Br", "La"],
  "fractional_positions": [[0.000, 0.000, 0.516], [0.000, 0.000, 0.984], [0.500, 0.500, 0.750], [0.500, 0.500, 0.250]],
  "n_ef_per_ev_fu": 3.3,
  "spacegroup": "No. 65",
  "final_energy_ev_per_fu": -13.11
}

---

[12]
{
  "formula": "Ba3Cl3O",
  "functional": "PBE-GGA",
  "state": "relaxed",
  "lattice_angstrom": [[-1.557, -0.894, 3.982], [-7.247, -10.298, -5.144], [11.114, -8.985, 2.329]],
  "species": ["Ba", "Ba", "Ba", "Ba", "Ba", "Ba", "Ba", "Ba", "Ba", "Ba", "Ba", "Ba", "O", "O", "O", "O", "Cl", "Cl", "Cl", "Cl", "Cl", "Cl", "Cl", "Cl", "Cl", "Cl", "Cl", "Cl"],
  "fractional_positions": [[0.250, 0.735, 0.630], [0.250, 0.526, 0.342], [0.750, 0.903, 0.381], [0.750, 0.403, 0.119], [0.750, 0.765, 0.130], [0.250, 0.597, 0.881], [0.750, 0.974, 0.842], [0.750, 0.265, 0.370], [0.250, 0.235, 0.870], [0.250, 0.097, 0.619], [0.250, 0.026, 0.158], [0.750, 0.474, 0.658], [0.250, 0.564, 0.703], [0.750, 0.436, 0.297], [0.250, 0.064, 0.797], [0.750, 0.936, 0.203], [0.250, 0.862, 0.995], [0.750, 0.138, 0.005], [0.750, 0.420, 0.885], [0.750, 0.920, 0.615], [0.250, 0.080, 0.385], [0.250, 0.580, 0.115], [0.750, 0.747, 0.791], [0.750, 0.247, 0.709], [0.250, 0.253, 0.209], [0.750, 0.638, 0.495], [0.250, 0.753, 0.291], [0.250, 0.362, 0.505]],
  "n_ef_per_ev_fu": 1.7,
  "spacegroup": "No. 62",
  "final_energy_ev_per_fu": -32.51
}

---

[13]
{
  "formula": "Dy2CdTe",
  "functional": "PBE-GGA",
  "state": "relaxed",
  "lattice_angstrom": [[3.916, 0.000, 0.000], [1.958, 3.391, 0.000], [1.958, 1.130, 10.302]],
  "species": ["Dy", "Dy", "Te", "Cd"],
  "fractional_positions": [[0.102, 0.102, 0.694], [0.898, 0.898, 0.306], [0.500, 0.500, 0.500], [0.000, 0.000, 0.000]],
  "n_ef_per_ev_fu": 4.0,
  "spacegroup": "No. 166",
  "final_energy_ev_per_fu": -14.38
}

---

[14]
{
  "formula": "Y3IrCl2O6",
  "functional": "PBE-GGA",
  "state": "relaxed",
  "lattice_angstrom": [[5.472, 0.000, 0.701], [0.000, 6.530, 0.000], [0.190, -3.265, 5.684]],
  "species": ["Y", "Y", "Y", "O", "O", "O", "O", "O", "O", "Cl", "Cl", "Ir"],
  "fractional_positions": [[0.500, 0.500, 0.500], [0.500, 0.000, 0.500], [0.000, 0.500, 0.000], [0.703, 0.296, 0.115], [0.297, 0.180, 0.885], [0.703, 0.820, 0.115], [0.297, 0.704, 0.885], [0.673, 0.832, 0.665], [0.327, 0.168, 0.335], [0.857, 0.290, 0.579], [0.143, 0.710, 0.421], [0.500, 0.000, 0.000]],
  "n_ef_per_ev_fu": 4.1,
  "spacegroup": "No. 12",
  "final_energy_ev_per_fu": -86.80
}

---

[15]
{
  "formula": "Sm2YSb3",
  "functional": "PBE-GGA",
  "state": "relaxed",
  "lattice_angstrom": [[-3.824, -2.199, 0.562], [1.025, -0.198, 6.198], [-1.826, 6.989, -2.662]],
  "species": ["Y", "Sm", "Sm", "Sb", "Sb", "Sb"],
  "fractional_positions": [[0.500, 0.500, 0.500], [0.167, 0.167, 0.835], [0.833, 0.833, 0.165], [0.500, 0.000, 0.500], [0.164, 0.664, 0.828], [0.836, 0.336, 0.172]],
  "n_ef_per_ev_fu": 1.2,
  "spacegroup": "No. 71",
  "final_energy_ev_per_fu": -35.30
}

---

[16]
{
  "formula": "GdHoSn2",
  "functional": "PBE-GGA",
  "state": "relaxed",
  "lattice_angstrom": [[-2.973, -0.463, -1.713], [-1.037, -2.260, 2.410], [-3.691, 6.617, 4.617]],
  "species": ["Sn", "Sn", "Gd", "Ho"],
  "fractional_positions": [[0.000, 0.000, 0.254], [0.000, 0.000, 0.746], [0.500, 0.500, 0.000], [0.500, 0.500, 0.500]],
  "n_ef_per_ev_fu": 2.9,
  "spacegroup": "No. 123",
  "final_energy_ev_per_fu": -29.29,
  "e_form_ev_per_fu": -2.6
}

---

[17]
{
  "formula": "Li2VGaSi",
  "functional": "PBE-GGA",
  "state": "relaxed",
  "lattice_angstrom": [[-2.531, 2.996, 2.883], [0.044, -3.242, 3.408], [4.157, 1.861, 1.717]],
  "species": ["Si", "Li", "Li", "V", "Ga"],
  "fractional_positions": [[0.000, 0.500, 0.000], [0.500, 0.000, 0.000], [0.000, 0.000, 0.500], [0.000, 0.000, 0.000], [0.500, 0.500, 0.500]],
  "n_ef_per_ev_fu": 3.9,
  "spacegroup": "No. 123",
  "final_energy_ev_per_fu": -17.65
}

---

[18]
{
  "formula": "La2HgP",
  "functional": "PBE-GGA",
  "state": "relaxed",
  "lattice_angstrom": [[-2.727, -3.139, -0.724], [-1.375, -2.380, 3.202], [-7.400, 3.145, 1.941]],
  "species": ["Hg", "La", "La", "P"],
  "fractional_positions": [[0.250, 0.250, 0.250], [0.014, 0.014, 0.960], [0.486, 0.486, 0.540], [0.750, 0.750, 0.750]],
  "n_ef_per_ev_fu": 5.3,
  "spacegroup": "No. 166",
  "final_energy_ev_per_fu": -19.51,
  "e_form_ev_per_fu": -3.9
}